No. 1
The following is a DFT calculation (GGA-PBE) of crystalline Zn5NiPd2Au2 at its relaxed geometry.

Summary:
- theoretical density (g/cm3) = 10.35
- calculated formation energy (eV/atom) = -0.255
- E (Ry/atom) = -0.2325
- space-group type = P4/mbm, No. 127

Lattice parameters (Å, degrees): 10.609 10.609 2.830 90.00 90.00 90.00
Element x y z (fractional)
Zn: 0.000 0.500 0.000
Zn: 0.120 0.149 0.000
Zn: 0.149 0.880 0.000
Zn: 0.351 0.380 0.000
Zn: 0.380 0.649 0.000
Zn: 0.500 0.000 0.000
Zn: 0.620 0.351 0.000
Zn: 0.649 0.620 0.000
Zn: 0.851 0.120 0.000
Zn: 0.880 0.851 0.000
Ni: 0.000 0.000 0.500
Ni: 0.500 0.500 0.500
Pd: 0.147 0.353 0.500
Pd: 0.353 0.853 0.500
Pd: 0.647 0.147 0.500
Pd: 0.853 0.647 0.500
Au: 0.153 0.653 0.500
Au: 0.347 0.153 0.500
Au: 0.653 0.847 0.500
Au: 0.847 0.347 0.500

No. 2
The following is a DFT calculation (GGA-PBE) of crystalline ZrNiPdAu at its relaxed geometry.

Summary:
- theoretical density (g/cm3) = 11.44
- calculated formation energy (eV/atom) = -0.444
- E (Ry/atom) = -0.4516
- space-group type = F-43m, No. 216

Lattice parameters (Å, degrees): 4.532 4.532 4.532 60.00 60.00 60.00
Element x y z (fractional)
Zr: 0.000 0.000 0.000
Ni: 0.750 0.750 0.750
Pd: 0.250 0.250 0.250
Au: 0.500 0.500 0.500

No. 3
The following is a DFT calculation (GGA-PBE) of crystalline PmNiAu at its relaxed geometry.

Summary:
- theoretical density (g/cm3) = 10.42
- calculated formation energy (eV/atom) = -0.518
- E (Ry/atom) = -0.3764
- space-group type = C2/m, No. 12

Lattice parameters (Å, degrees): 4.444 4.444 7.899 106.17 106.17 59.77
Element x y z (fractional)
Pm: 0.242 0.242 0.225
Pm: 0.758 0.758 0.775
Ni: 0.361 0.361 0.584
Ni: 0.639 0.639 0.416
Au: 0.000 0.000 0.500
Au: 0.500 0.500 0.000

No. 4
The following is a DFT calculation (GGA-PBE) of crystalline PmNiAu at its relaxed geometry.

Summary:
- theoretical density (g/cm3) = 11.06
- calculated formation energy (eV/atom) = -0.566
- E (Ry/atom) = -0.3799
- space-group type = P2_1/c, No. 14

Lattice parameters (Å, degrees): 6.236 5.457 7.605 90.00 111.57 90.00
Element x y z (fractional)
Pm: 0.192 0.116 0.375
Pm: 0.192 0.384 0.875
Pm: 0.808 0.616 0.125
Pm: 0.808 0.884 0.625
Ni: 0.167 0.618 0.520
Ni: 0.167 0.882 0.020
Ni: 0.833 0.118 0.980
Ni: 0.833 0.382 0.480
Au: 0.407 0.595 0.296
Au: 0.407 0.905 0.796
Au: 0.593 0.095 0.204
Au: 0.593 0.405 0.704

No. 5
The following is a DFT calculation (GGA-PBE) of crystalline Pm5Ni2Au5 at its relaxed geometry.

Summary:
- theoretical density (g/cm3) = 10.74
- calculated formation energy (eV/atom) = -0.676
- E (Ry/atom) = -0.3664
- space-group type = C2/m, No. 12

Lattice parameters (Å, degrees): 8.444 8.444 11.586 131.19 131.19 27.73
Element x y z (fractional)
Pm: 0.000 0.000 0.000
Pm: 0.106 0.106 0.406
Pm: 0.195 0.195 0.815
Pm: 0.805 0.805 0.185
Pm: 0.894 0.894 0.594
Ni: 0.369 0.369 0.748
Ni: 0.631 0.631 0.252
Au: 0.256 0.256 0.326
Au: 0.427 0.427 0.141
Au: 0.500 0.500 0.500
Au: 0.573 0.573 0.859
Au: 0.744 0.744 0.674

No. 6
The following is a DFT calculation (GGA-PBE) of crystalline PmNiAu at its relaxed geometry.

Summary:
- theoretical density (g/cm3) = 10.95
- calculated formation energy (eV/atom) = -0.394
- E (Ry/atom) = -0.3673
- space-group type = I4mm, No. 107

Lattice parameters (Å, degrees): 5.246 5.246 5.246 139.34 139.34 58.86
Element x y z (fractional)
Pm: 0.000 0.000 0.000
Ni: 0.664 0.664 0.000
Au: 0.321 0.321 0.000

No. 7
The following is a DFT calculation (GGA-PBE) of crystalline Pm5NiAu4 at its relaxed geometry.

Summary:
- theoretical density (g/cm3) = 10.69
- calculated formation energy (eV/atom) = -0.670
- E (Ry/atom) = -0.3627
- space-group type = P4/mmm, No. 123

Lattice parameters (Å, degrees): 3.631 3.631 18.515 90.00 90.00 90.00
Element x y z (fractional)
Pm: 0.000 0.000 0.000
Pm: 0.000 0.000 0.205
Pm: 0.000 0.000 0.409
Pm: 0.000 0.000 0.591
Pm: 0.000 0.000 0.795
Ni: 0.500 0.500 0.500
Au: 0.500 0.500 0.102
Au: 0.500 0.500 0.307
Au: 0.500 0.500 0.693
Au: 0.500 0.500 0.898

No. 8
The following is a DFT calculation (GGA-PBE) of crystalline PmNiAu at its relaxed geometry.

Summary:
- theoretical density (g/cm3) = 10.21
- calculated formation energy (eV/atom) = -0.180
- E (Ry/atom) = -0.3516
- space-group type = Fddd, No. 70

Lattice parameters (Å, degrees): 8.228 7.203 6.763 72.11 56.42 51.47
Element x y z (fractional)
Pm: 0.000 0.000 0.000
Pm: 0.000 0.000 0.500
Pm: 0.000 0.500 0.000
Pm: 0.500 0.000 0.000
Ni: 0.195 0.195 0.555
Ni: 0.445 0.445 0.805
Ni: 0.555 0.555 0.195
Ni: 0.805 0.805 0.445
Au: 0.246 0.504 0.246
Au: 0.496 0.754 0.496
Au: 0.504 0.246 0.504
Au: 0.754 0.496 0.754

No. 9
The following is a DFT calculation (GGA-PBE) of crystalline Pm2NiAu at its relaxed geometry.

Summary:
- theoretical density (g/cm3) = 9.80
- calculated formation energy (eV/atom) = -0.510
- E (Ry/atom) = -0.3785
- space-group type = P4/mmm, No. 123

Lattice parameters (Å, degrees): 3.572 3.572 7.246 90.00 90.00 90.00
Element x y z (fractional)
Pm: 0.000 0.000 0.234
Pm: 0.000 0.000 0.766
Ni: 0.500 0.500 0.000
Au: 0.500 0.500 0.500

No. 10
The following is a DFT calculation (GGA-PBE) of crystalline PmNiAu2 at its relaxed geometry.

Summary:
- theoretical density (g/cm3) = 11.98
- calculated formation energy (eV/atom) = -0.456
- E (Ry/atom) = -0.3475
- space-group type = R-3m, No. 166

Lattice parameters (Å, degrees): 5.463 5.463 5.463 48.12 48.12 48.12
Element x y z (fractional)
Pm: 0.000 0.000 0.000
Ni: 0.500 0.500 0.500
Au: 0.215 0.215 0.215
Au: 0.785 0.785 0.785

No. 11
The following is a DFT calculation (GGA-PBE) of crystalline Pm3NiAu at its relaxed geometry.

Summary:
- theoretical density (g/cm3) = 8.67
- calculated formation energy (eV/atom) = -0.451
- E (Ry/atom) = -0.3758
- space-group type = P2_1/m, No. 11

Lattice parameters (Å, degrees): 8.319 3.974 8.480 90.00 109.24 90.00
Element x y z (fractional)
Pm: 0.055 0.250 0.241
Pm: 0.319 0.250 0.967
Pm: 0.337 0.750 0.605
Pm: 0.663 0.250 0.395
Pm: 0.681 0.750 0.033
Pm: 0.945 0.750 0.759
Ni: 0.068 0.250 0.582
Ni: 0.932 0.750 0.418
Au: 0.351 0.750 0.242
Au: 0.649 0.250 0.758

No. 12
The following is a DFT calculation (GGA-PBE) of crystalline Pm2NiAu at its relaxed geometry.

Summary:
- theoretical density (g/cm3) = 9.43
- calculated formation energy (eV/atom) = -0.561
- E (Ry/atom) = -0.3822
- space-group type = P2_1/m, No. 11

Lattice parameters (Å, degrees): 5.782 4.565 7.779 90.00 110.70 90.00
Element x y z (fractional)
Pm: 0.213 0.250 0.434
Pm: 0.231 0.250 0.926
Pm: 0.769 0.750 0.074
Pm: 0.787 0.750 0.566
Ni: 0.343 0.750 0.709
Ni: 0.657 0.250 0.291
Au: 0.338 0.750 0.213
Au: 0.662 0.250 0.787

No. 13
The following is a DFT calculation (GGA-PBE) of crystalline PmNi4Au at its relaxed geometry.

Summary:
- theoretical density (g/cm3) = 10.85
- calculated formation energy (eV/atom) = -0.314
- E (Ry/atom) = -0.4047
- space-group type = F-43m, No. 216

Lattice parameters (Å, degrees): 4.998 4.998 4.998 60.00 60.00 60.00
Element x y z (fractional)
Pm: 0.000 0.000 0.000
Ni: 0.376 0.376 0.376
Ni: 0.376 0.376 0.872
Ni: 0.376 0.872 0.376
Ni: 0.872 0.376 0.376
Au: 0.750 0.750 0.750

No. 14
The following is a DFT calculation (GGA-PBE) of crystalline PmNiAu at its relaxed geometry.

Summary:
- theoretical density (g/cm3) = 10.10
- calculated formation energy (eV/atom) = -0.425
- E (Ry/atom) = -0.3696
- space-group type = F-43m, No. 216

Lattice parameters (Å, degrees): 4.534 4.534 4.534 60.00 60.00 60.00
Element x y z (fractional)
Pm: 0.000 0.000 0.000
Ni: 0.750 0.750 0.750
Au: 0.500 0.500 0.500

No. 15
The following is a DFT calculation (GGA-PBE) of crystalline Pm3NiAu at its relaxed geometry.

Summary:
- theoretical density (g/cm3) = 8.73
- calculated formation energy (eV/atom) = -0.448
- E (Ry/atom) = -0.3756
- space-group type = C2/m, No. 12

Lattice parameters (Å, degrees): 8.274 8.274 8.255 93.12 93.12 27.76
Element x y z (fractional)
Pm: 0.053 0.053 0.302
Pm: 0.241 0.241 0.698
Pm: 0.397 0.397 0.053
Pm: 0.603 0.603 0.947
Pm: 0.759 0.759 0.302
Pm: 0.947 0.947 0.698
Ni: 0.215 0.215 0.063
Ni: 0.785 0.785 0.937
Au: 0.402 0.402 0.430
Au: 0.598 0.598 0.570

No. 16
The following is a DFT calculation (GGA-PBE) of crystalline Pm8NiAu2 at its relaxed geometry.

Summary:
- theoretical density (g/cm3) = 8.50
- calculated formation energy (eV/atom) = -0.322
- E (Ry/atom) = -0.3600
- space-group type = C2/m, No. 12

Lattice parameters (Å, degrees): 9.299 9.299 6.973 100.58 100.58 32.15
Element x y z (fractional)
Pm: 0.026 0.026 0.280
Pm: 0.203 0.203 0.826
Pm: 0.342 0.342 0.529
Pm: 0.412 0.412 0.055
Pm: 0.588 0.588 0.945
Pm: 0.658 0.658 0.471
Pm: 0.797 0.797 0.174
Pm: 0.974 0.974 0.720
Ni: 0.500 0.500 0.500
Au: 0.192 0.192 0.242
Au: 0.808 0.808 0.758

No. 17
The following is a DFT calculation (GGA-PBE) of crystalline Pm8NiAu2 at its relaxed geometry.

Summary:
- theoretical density (g/cm3) = 8.01
- calculated formation energy (eV/atom) = -0.223
- E (Ry/atom) = -0.3527
- space-group type = Cm, No. 8

Lattice parameters (Å, degrees): 8.032 8.032 6.102 104.45 104.45 109.54
Element x y z (fractional)
Pm: 0.000 0.000 0.000
Pm: 0.221 0.500 0.193
Pm: 0.252 0.973 0.538
Pm: 0.477 0.735 0.878
Pm: 0.500 0.221 0.193
Pm: 0.728 0.728 0.450
Pm: 0.735 0.477 0.878
Pm: 0.973 0.252 0.538
Ni: 0.346 0.346 0.512
Au: 0.077 0.671 0.755
Au: 0.671 0.077 0.755

No. 18
The following is a DFT calculation (GGA-PBE) of crystalline Pm3Ni8Au at its relaxed geometry.

Summary:
- theoretical density (g/cm3) = 9.88
- calculated formation energy (eV/atom) = -0.356
- E (Ry/atom) = -0.4168
- space-group type = R3m, No. 160

Lattice parameters (Å, degrees): 8.834 8.834 8.834 33.31 33.31 33.31
Element x y z (fractional)
Pm: 0.000 0.000 0.000
Pm: 0.130 0.130 0.130
Pm: 0.516 0.516 0.516
Ni: 0.066 0.570 0.570
Ni: 0.071 0.071 0.566
Ni: 0.071 0.566 0.071
Ni: 0.319 0.319 0.319
Ni: 0.566 0.071 0.071
Ni: 0.570 0.066 0.570
Ni: 0.570 0.570 0.066
Ni: 0.819 0.819 0.819
Au: 0.636 0.636 0.636

No. 19
The following is a DFT calculation (GGA-PBE) of crystalline Pm12NiAu6 at its relaxed geometry.

Summary:
- theoretical density (g/cm3) = 8.28
- calculated formation energy (eV/atom) = -0.412
- E (Ry/atom) = -0.3492
- space-group type = R-3, No. 148

Lattice parameters (Å, degrees): 8.535 8.535 8.535 98.72 98.72 98.72
Element x y z (fractional)
Pm: 0.036 0.685 0.935
Pm: 0.065 0.964 0.315
Pm: 0.182 0.427 0.579
Pm: 0.315 0.065 0.964
Pm: 0.421 0.818 0.573
Pm: 0.427 0.579 0.182
Pm: 0.573 0.421 0.818
Pm: 0.579 0.182 0.427
Pm: 0.685 0.935 0.036
Pm: 0.818 0.573 0.421
Pm: 0.935 0.036 0.685
Pm: 0.964 0.315 0.065
Ni: 0.000 0.000 0.000
Au: 0.132 0.626 0.305
Au: 0.305 0.132 0.626
Au: 0.374 0.695 0.868
Au: 0.626 0.305 0.132
Au: 0.695 0.868 0.374
Au: 0.868 0.374 0.695

No. 20
The following is a DFT calculation (GGA-PBE) of crystalline PmNi2Au at its relaxed geometry.

Summary:
- theoretical density (g/cm3) = 11.20
- calculated formation energy (eV/atom) = -0.267
- E (Ry/atom) = -0.3796
- space-group type = P4/mmm, No. 123

Lattice parameters (Å, degrees): 4.238 4.238 3.792 90.00 90.00 90.00
Element x y z (fractional)
Pm: 0.000 0.000 0.000
Ni: 0.000 0.500 0.500
Ni: 0.500 0.000 0.500
Au: 0.500 0.500 0.000